Sm2Zn2Si3: optimized geometry, GGA-PBE.

POSCAR file:
```
Sm2Zn2Si3
1.0
4.0871 0.0000 -0.9744
0.0000 6.8644 0.0000
0.1143 0.0000 9.5383
Si Zn Sm
6 4 4
Direct
0.4427 0.9220 0.8854
0.4427 0.5780 0.8854
0.2174 0.7500 0.4347
0.5573 0.0780 0.1146
0.7826 0.2500 0.5653
0.5573 0.4220 0.1146
0.6780 0.9350 0.3561
0.6780 0.5650 0.3561
0.3220 0.4350 0.6439
0.3220 0.0650 0.6439
0.1577 0.2500 0.3154
0.8423 0.7500 0.6846
0.9509 0.2500 0.9018
0.0491 0.7500 0.0982
```

Formation energy (no corrections): -0.514 eV per atom
Mass density: 6.38 g/cm3
Crystal system: orthorhombic
Final energy: -31.9 eV per formula unit